The following is a GGA-PBE calculation of an optimized crystal structure of LaPr2C, from the Alexandria database.

The value obtained for the energy of formation from the pure elements is 0.2 eV per formula unit. The value obtained for the total magnetization is 0.1 μB per formula unit.

a = 3.6717 Å, b = 3.6717 Å, c = 30.8163 Å
α = 90.00°, β = 90.00°, γ = 120.00°
Space group R-3m (No. 166, hexagonal axes)
One atom of each set of equivalent atoms:
La (0.0000, 0.0000, 0.0000)
Pr (0.0000, 0.0000, 0.1199)
C (0.0000, 0.0000, 0.5000)

The following is a GGA-PBE calculation of an optimized crystal structure of La4Pr2C, from the Alexandria database.

The value obtained for the energy of formation from the pure elements is 1.0 eV per formula unit. The value obtained for the total magnetization is 0.0 μB per formula unit.

a = 5.172 Å, b = 5.172 Å, c = 18.109 Å
α = 90.00°, β = 90.00°, γ = 90.00°
Space group I4/mmm (No. 139)
One atom of each set of equivalent atoms:
La (0.000, 0.000, 0.138)
La (0.000, 0.500, 0.000)
Pr (0.000, 0.000, 0.322)
C (0.000, 0.000, 0.000)

The following is a GGA-PBE calculation of an optimized crystal structure of LaPr2SnC, from the Alexandria database.

The value obtained for the energy of formation from the pure elements is -2.3 eV per formula unit. The value obtained for the total magnetization is 0.0 μB per formula unit.

a = 5.180 Å, b = 5.180 Å, c = 5.178 Å
α = 90.00°, β = 90.00°, γ = 90.00°
Space group P4/mmm (No. 123)
One atom of each set of equivalent atoms:
La (0.000, 0.000, 0.000)
Pr (0.000, 0.500, 0.500)
Sn (0.500, 0.500, 0.000)
C (0.000, 0.000, 0.500)

The following is a GGA-PBE calculation of an optimized crystal structure of La2PrSnC, from the Alexandria database.

The value obtained for the energy of formation from the pure elements is -2.4 eV per formula unit. The value obtained for the total magnetization is 0.0 μB per formula unit.

a = 5.199 Å, b = 5.199 Å, c = 5.202 Å
α = 90.00°, β = 90.00°, γ = 90.00°
Space group P4/mmm (No. 123)
One atom of each set of equivalent atoms:
La (0.000, 0.500, 0.000)
Pr (0.000, 0.000, 0.500)
Sn (0.500, 0.500, 0.500)
C (0.000, 0.000, 0.000)

The following is a GGA-PBE calculation of an optimized crystal structure of LaPr2TlC, from the Alexandria database.

The value obtained for the energy of formation from the pure elements is -1.3 eV per formula unit. The value obtained for the total magnetization is 0.0 μB per formula unit.

a = 5.205 Å, b = 5.205 Å, c = 5.189 Å
α = 90.00°, β = 90.00°, γ = 90.00°
Space group P4/mmm (No. 123)
One atom of each set of equivalent atoms:
La (0.000, 0.000, 0.000)
Pr (0.000, 0.500, 0.500)
Tl (0.500, 0.500, 0.000)
C (0.000, 0.000, 0.500)

The following is a GGA-PBE calculation of an optimized crystal structure of La2PrTlC, from the Alexandria database.

The value obtained for the energy of formation from the pure elements is -1.4 eV per formula unit. The value obtained for the total magnetization is 0.0 μB per formula unit.

a = 5.216 Å, b = 5.216 Å, c = 5.232 Å
α = 90.00°, β = 90.00°, γ = 90.00°
Space group P4/mmm (No. 123)
One atom of each set of equivalent atoms:
La (0.000, 0.500, 0.000)
Pr (0.000, 0.000, 0.500)
Tl (0.500, 0.500, 0.500)
C (0.000, 0.000, 0.000)

The following is a GGA-PBE calculation of an optimized crystal structure of La6Pt3C, from the Alexandria database.

The value obtained for the energy of formation from the pure elements is -7.4 eV per formula unit. The value obtained for the total magnetization is 0.0 μB per formula unit.

a = 6.948 Å, b = 7.646 Å, c = 12.556 Å
α = 90.00°, β = 122.60°, γ = 90.00°
Space group P2_1/c (No. 14)
One atom of each set of equivalent atoms:
La (0.094, 0.197, 0.435)
La (0.233, 0.668, 0.427)
La (0.372, 0.049, 0.234)
Pt (0.192, 0.102, 0.740)
Pt (0.500, 0.000, 0.500)
C (0.000, 0.000, 0.000)

The following is a GGA-PBE calculation of an optimized crystal structure of La12Pt3C5, from the Alexandria database.

The value obtained for the energy of formation from the pure elements is -5.9 eV per formula unit. The value obtained for the total magnetization is 0.0 μB per formula unit.

a = 16.301 Å, b = 16.301 Å, c = 16.301 Å
α = 90.00°, β = 90.00°, γ = 90.00°
Space group Ia-3d (No. 230)
One atom of each set of equivalent atoms:
La (0.029, 0.056, 0.650)
Pt (0.000, 0.250, 0.125)
C (0.000, 0.000, 0.000)
C (0.000, 0.250, 0.375)

The following is a GGA-PBE calculation of an optimized crystal structure of LaPt3C, from the Alexandria database.

The value obtained for the energy of formation from the pure elements is 11.8 eV per formula unit. The value obtained for the total magnetization is 1.4 μB per formula unit.

a = 5.266 Å, b = 5.266 Å, c = 5.266 Å
α = 90.00°, β = 90.00°, γ = 90.00°
Space group Pm-3m (No. 221)
One atom of each set of equivalent atoms:
La (0.000, 0.000, 0.000)
Pt (0.000, 0.000, 0.500)
C (0.500, 0.500, 0.500)

The following is a GGA-PBE calculation of an optimized crystal structure of LaPtC, from the Alexandria database.

The value obtained for the energy of formation from the pure elements is -0.3 eV per formula unit. The value obtained for the total magnetization is 0.0 μB per formula unit.

a = 5.776 Å, b = 5.407 Å, c = 7.819 Å
α = 90.00°, β = 96.14°, γ = 90.00°
Space group C2/m (No. 12)
One atom of each set of equivalent atoms:
La (0.221, 0.000, 0.319)
Pt (0.181, 0.500, 0.109)
C (0.246, 0.500, 0.357)

The following is a GGA-PBE calculation of an optimized crystal structure of LaPt3C, from the Alexandria database.

The value obtained for the energy of formation from the pure elements is -1.2 eV per formula unit. The value obtained for the total magnetization is 0.0 μB per formula unit.

a = 4.407 Å, b = 4.407 Å, c = 4.407 Å
α = 90.00°, β = 90.00°, γ = 90.00°
Space group Pm-3m (No. 221)
One atom of each set of equivalent atoms:
La (0.000, 0.000, 0.000)
Pt (0.000, 0.500, 0.500)
C (0.500, 0.500, 0.500)

The following is a GGA-PBE calculation of an optimized crystal structure of La2TlPtC, from the Alexandria database.

The value obtained for the energy of formation from the pure elements is -2.2 eV per formula unit. The value obtained for the total magnetization is 0.0 μB per formula unit.

a = 5.533 Å, b = 5.533 Å, c = 3.942 Å
α = 90.00°, β = 90.00°, γ = 90.00°
Space group P4/mmm (No. 123)
One atom of each set of equivalent atoms:
La (0.000, 0.500, 0.000)
Tl (0.000, 0.000, 0.500)
Pt (0.500, 0.500, 0.500)
C (0.500, 0.500, 0.000)

The following is a GGA-PBE calculation of an optimized crystal structure of LaZn2PtC, from the Alexandria database.

The value obtained for the energy of formation from the pure elements is 3.5 eV per formula unit. The value obtained for the total magnetization is 1.7 μB per formula unit.

a = 4.753 Å, b = 4.753 Å, c = 5.553 Å
α = 90.00°, β = 90.00°, γ = 90.00°
Space group P4/mmm (No. 123)
One atom of each set of equivalent atoms:
La (0.000, 0.000, 0.000)
Zn (0.000, 0.500, 0.500)
Pt (0.000, 0.000, 0.500)
C (0.500, 0.500, 0.000)

The following is a GGA-PBE calculation of an optimized crystal structure of La2ZnPtC, from the Alexandria database.

The value obtained for the energy of formation from the pure elements is -2.1 eV per formula unit. The value obtained for the total magnetization is 0.0 μB per formula unit.

a = 5.404 Å, b = 5.404 Å, c = 3.915 Å
α = 90.00°, β = 90.00°, γ = 90.00°
Space group P4/mmm (No. 123)
One atom of each set of equivalent atoms:
La (0.000, 0.500, 0.000)
Zn (0.000, 0.000, 0.500)
Pt (0.500, 0.500, 0.500)
C (0.500, 0.500, 0.000)

The following is a GGA-PBE calculation of an optimized crystal structure of La2PuC, from the Alexandria database.

The value obtained for the energy of formation from the pure elements is 0.8 eV per formula unit. The value obtained for the total magnetization is 6.8 μB per formula unit.

a = 3.6330 Å, b = 3.6330 Å, c = 30.3740 Å
α = 90.00°, β = 90.00°, γ = 120.00°
Space group R-3m (No. 166, hexagonal axes)
One atom of each set of equivalent atoms:
La (0.0000, 0.0000, 0.1181)
Pu (0.0000, 0.0000, 0.0000)
C (0.0000, 0.0000, 0.5000)

The following is a GGA-PBE calculation of an optimized crystal structure of LaPu2C2, from the Alexandria database.

The value obtained for the energy of formation from the pure elements is 1.2 eV per formula unit. The value obtained for the total magnetization is 10.5 μB per formula unit.

a = 6.565 Å, b = 6.565 Å, c = 10.651 Å
α = 90.00°, β = 90.00°, γ = 90.00°
Space group I4_1md (No. 109)
One atom of each set of equivalent atoms:
La (0.000, 0.000, 0.000)
Pu (0.000, 0.241, 0.615)
C (0.000, 0.220, 0.400)

The following is a GGA-PBE calculation of an optimized crystal structure of La3PuC8, from the Alexandria database.

The value obtained for the energy of formation from the pure elements is -1.1 eV per formula unit. The value obtained for the total magnetization is 5.7 μB per formula unit.

a = 5.519 Å, b = 6.504 Å, c = 11.024 Å
α = 90.00°, β = 90.00°, γ = 90.00°
Space group Immm (No. 71)
One atom of each set of equivalent atoms:
La (0.000, 0.000, 0.000)
La (0.000, 0.500, 0.249)
Pu (0.000, 0.000, 0.500)
C (0.000, 0.099, 0.256)
C (0.000, 0.400, 0.000)
C (0.000, 0.400, 0.500)

The following is a GGA-PBE calculation of an optimized crystal structure of LaPu2ReC4, from the Alexandria database.

The value obtained for the energy of formation from the pure elements is 0.3 eV per formula unit. The value obtained for the total magnetization is 9.4 μB per formula unit.

a = 3.534 Å, b = 12.094 Å, c = 12.287 Å
α = 90.00°, β = 90.00°, γ = 90.00°
Space group Cmcm (No. 63)
One atom of each set of equivalent atoms:
La (0.000, 0.100, 0.250)
Pu (0.000, 0.370, 0.038)
Re (0.000, 0.163, 0.750)
C (0.000, 0.000, 0.000)
C (0.000, 0.257, 0.625)
C (0.000, 0.421, 0.250)

The following is a GGA-PBE calculation of an optimized crystal structure of La2Pu2Sb2C, from the Alexandria database.

The value obtained for the total magnetization is 11.5 μB per formula unit. Its uncorrected formation energy is -5.1 eV/f.u.

a = 4.801 Å, b = 4.801 Å, c = 16.860 Å
α = 90.00°, β = 90.00°, γ = 90.00°
Space group I4/mmm (No. 139)
One atom of each set of equivalent atoms:
La (0.000, 0.000, 0.162)
Pu (0.000, 0.500, 0.000)
Sb (0.000, 0.000, 0.363)
C (0.000, 0.000, 0.000)

The following is a GGA-PBE calculation of an optimized crystal structure of LaPu2TcC4, from the Alexandria database.

The value obtained for the energy of formation from the pure elements is 0.4 eV per formula unit. The value obtained for the total magnetization is 9.3 μB per formula unit.

a = 3.549 Å, b = 11.996 Å, c = 12.199 Å
α = 90.00°, β = 90.00°, γ = 90.00°
Space group Cmcm (No. 63)
One atom of each set of equivalent atoms:
La (0.000, 0.101, 0.250)
Pu (0.000, 0.371, 0.040)
Tc (0.000, 0.163, 0.750)
C (0.000, 0.000, 0.000)
C (0.000, 0.256, 0.623)
C (0.000, 0.422, 0.250)